Entry 1:
{"formula": "Ca6Ni", "functional": "PBE", "state": "optimized geometry", "magmom_total_mub_per_fu": 0.000, "e_form_kj_per_mol_atoms": -5, "lattice": [[-4.739, -4.244, 2.389], [1.756, -7.168, -9.247], [9.078, -6.383, 6.671]], "species": ["Ca", "Ca", "Ca", "Ca", "Ca", "Ca", "Ca", "Ca", "Ca", "Ca", "Ca", "Ca", "Ca", "Ca", "Ca", "Ca", "Ca", "Ca", "Ca", "Ca", "Ca", "Ca", "Ca", "Ca", "Ni", "Ni", "Ni", "Ni"], "fractional_positions": [[0.753, 0.250, 0.502], [0.247, 0.750, 0.498], [0.253, 0.750, 0.998], [0.747, 0.250, 0.002], [0.411, 0.250, 0.751], [0.589, 0.750, 0.249], [0.911, 0.750, 0.749], [0.089, 0.250, 0.251], [0.248, 0.416, 0.503], [0.752, 0.584, 0.497], [0.748, 0.584, 0.997], [0.752, 0.916, 0.497], [0.252, 0.416, 0.003], [0.248, 0.084, 0.503], [0.252, 0.084, 0.003], [0.748, 0.916, 0.997], [0.917, 0.414, 0.748], [0.083, 0.586, 0.252], [0.417, 0.586, 0.752], [0.083, 0.914, 0.252], [0.583, 0.414, 0.248], [0.917, 0.086, 0.748], [0.583, 0.086, 0.248], [0.417, 0.914, 0.752], [0.084, 0.250, 0.625], [0.916, 0.750, 0.375], [0.584, 0.750, 0.875], [0.416, 0.250, 0.125]]}

---

Entry 2:
{"formula": "MnBe2CdSi", "functional": "PBE", "state": "optimized geometry", "e_form_raw_ev_per_fu": 4.53, "magmom_total_mub_per_fu": 4.135, "lattice": [[-2.217, 3.355, 0.921], [-3.312, -1.064, -4.095], [-2.375, -2.258, 2.507]], "species": ["Be", "Be", "Si", "Mn", "Cd"], "fractional_positions": [[0.000, 0.000, 0.500], [0.500, 0.000, 0.000], [0.000, 0.000, 0.000], [0.500, 0.500, 0.500], [0.000, 0.500, 0.000]]}

---

Entry 3:
{"formula": "Re2PCl", "functional": "PBE", "state": "optimized geometry", "de_polymorph_mev_per_atom": 99, "e_form_raw_ev_per_fu": 0.50, "magmom_total_mub_per_fu": 0.000, "lattice": [[2.887, 0.000, 0.000], [0.000, 2.887, 0.000], [0.000, 0.000, 8.535]], "species": ["Cl", "P", "Re", "Re"], "fractional_positions": [[0.000, 0.000, 0.422], [0.500, 0.500, 0.835], [0.000, 0.000, 0.018], [0.500, 0.500, 0.225]]}

---

Entry 4:
{"formula": "LaP2Se", "functional": "PBE", "state": "optimized geometry", "e_form_raw_ev_per_fu": -3.16, "magmom_total_mub_per_fu": 0.000, "lattice": [[6.129, -0.013, -0.018], [5.047, 3.476, -0.018], [0.374, 0.116, 4.631]], "species": ["La", "P", "P", "Se"], "fractional_positions": [[0.250, 0.250, 0.250], [0.994, 0.994, 0.102], [0.506, 0.506, 0.398], [0.750, 0.750, 0.750]]}

---

Entry 5:
{"formula": "BeHg2P", "functional": "PBE", "state": "optimized geometry", "de_polymorph_mev_per_atom": 699, "magmom_total_mub_per_fu": 0.000, "e_form_kj_per_mol_atoms": 70, "lattice": [[-3.551, 0.208, -1.760], [1.841, -0.827, -3.814], [-0.567, -4.229, 0.644]], "species": ["P", "Hg", "Hg", "Be"], "fractional_positions": [[0.500, 0.500, 0.000], [0.000, 0.000, 0.000], [0.000, 0.500, 0.500], [0.500, 0.000, 0.500]]}

---

Entry 6:
{"formula": "Pm2SnBPd6", "functional": "PBE", "state": "optimized geometry", "magmom_total_mub_per_fu": 0.000, "e_form_kj_per_mol_atoms": -65, "lattice": [[5.765, 0.032, 0.047], [-0.048, 7.343, 1.058], [2.849, 4.466, 5.177]], "species": ["Pm", "Pm", "Sn", "B", "Pd", "Pd", "Pd", "Pd", "Pd", "Pd"], "fractional_positions": [[0.686, 0.248, 0.562], [0.314, 0.752, 0.438], [0.000, 0.000, 0.000], [0.500, 0.500, 0.000], [0.220, 0.181, 0.468], [0.692, 0.714, 0.022], [0.221, 0.689, 0.960], [0.779, 0.311, 0.040], [0.308, 0.286, 0.978], [0.780, 0.819, 0.532]]}

---

| no. | electronic total energy (eV/atom) |
| --- | --- |
| 1 | -2.595 |
| 2 | -3.686 |
| 3 | -7.914 |
| 4 | -5.597 |
| 5 | -1.712 |
| 6 | -5.811 |